No. 1
First-principles (PBEsol) data for a relaxed structure of HfNi3, as listed in Alexandria via LeMat-Bulk.

a = 7.0133 Å, b = 7.0133 Å, c = 7.0133 Å
α = 43.47°, β = 43.47°, γ = 43.47°
With the nearest neighbours (Å) after each atom.
Fractional positions:
Hf (0.0000, 0.0000, 0.0000)  12 Ni 2.60-2.63
Hf (0.2189, 0.2189, 0.2189)  12 Ni 2.60-2.64
Hf (0.7811, 0.7811, 0.7811)  12 Ni 2.60-2.64
Ni (0.0000, 0.5000, 0.5000)  8 Ni 2.55-2.60, 4 Hf 2.60-2.64
Ni (0.2442, 0.7128, 0.7128)  6 Ni 2.43-2.57, 4 Hf 2.60-2.63
Ni (0.2872, 0.2872, 0.7558)  6 Ni 2.43-2.57, 4 Hf 2.60-2.63
Ni (0.2872, 0.7558, 0.2872)  6 Ni 2.43-2.57, 4 Hf 2.60-2.63
Ni (0.5000, 0.0000, 0.5000)  8 Ni 2.55-2.60, 4 Hf 2.60-2.64
Ni (0.5000, 0.5000, 0.0000)  8 Ni 2.55-2.60, 4 Hf 2.60-2.64
Ni (0.7128, 0.2442, 0.7128)  6 Ni 2.43-2.57, 4 Hf 2.60-2.63
Ni (0.7128, 0.7128, 0.2442)  6 Ni 2.43-2.57, 4 Hf 2.60-2.63
Ni (0.7558, 0.2872, 0.2872)  6 Ni 2.43-2.57, 4 Hf 2.60-2.63

Results
* uncorrected energy: -7.8061 eV/atom
* calculated volume: 12.34 A^3/atom
* calculated density: 11.93 g cm⁻³
* energy of formation from the pure elements: -0.562 eV/atom

---

No. 2
First-principles (PBEsol) data for a relaxed structure of MgSi2SnO6, as listed in Alexandria via LeMat-Bulk.

a = 7.2036 Å, b = 7.2036 Å, c = 5.4585 Å
α = 104.33°, β = 104.33°, γ = 83.59°
With the nearest neighbours (Å) after each atom.
Fractional positions:
Mg (0.2067, 0.7933, 0.7500)  4 O 1.95-1.97
Mg (0.7933, 0.2067, 0.2500)  4 O 1.95-1.97
Si (0.1332, 0.3255, 0.7206)  4 O 1.61-1.66
Si (0.3255, 0.1332, 0.2206)  4 O 1.61-1.66
Si (0.6745, 0.8668, 0.7794)  4 O 1.61-1.66
Si (0.8668, 0.6745, 0.2794)  4 O 1.61-1.66
Sn (0.3560, 0.6440, 0.2500)  4 O 2.15-2.31
Sn (0.6440, 0.3560, 0.7500)  4 O 2.15-2.31
O (0.0932, 0.7209, 0.3778)  1 Si 1.63
O (0.1719, 0.5506, 0.8323)  1 Si 1.61
O (0.2116, 0.2342, 0.4520)  2 Si 1.65-1.66
O (0.2342, 0.2116, 0.9520)  2 Si 1.65-1.66
O (0.2791, 0.9068, 0.1222)  1 Si 1.63
O (0.4494, 0.8281, 0.6677)  1 Si 1.61
O (0.5506, 0.1719, 0.3323)  1 Si 1.61
O (0.7209, 0.0932, 0.8778)  1 Si 1.63
O (0.7658, 0.7884, 0.0480)  2 Si 1.65-1.66
O (0.7884, 0.7658, 0.5480)  2 Si 1.65-1.66
O (0.8281, 0.4494, 0.1677)  1 Si 1.61
O (0.9068, 0.2791, 0.6222)  1 Si 1.63

Results
* formation energy from raw total energies: -2444 meV/atom
* uncorrected energy: -7.3408 eV/atom
* calculated volume: 13.28 A^3/atom
* calculated density: 3.69 g cm⁻³
* relative energy among the computed polymorphs: 32 meV per atom

---

What did the second record say?
First-principles (PBEsol) data for a relaxed structure of MgSi2SnO6, as listed in Alexandria via LeMat-Bulk.

a = 7.2036 Å, b = 7.2036 Å, c = 5.4585 Å
α = 104.33°, β = 104.33°, γ = 83.59°
With the nearest neighbours (Å) after each atom.
Fractional positions:
Mg (0.2067, 0.7933, 0.7500)  4 O 1.95-1.97
Mg (0.7933, 0.2067, 0.2500)  4 O 1.95-1.97
Si (0.1332, 0.3255, 0.7206)  4 O 1.61-1.66
Si (0.3255, 0.1332, 0.2206)  4 O 1.61-1.66
Si (0.6745, 0.8668, 0.7794)  4 O 1.61-1.66
Si (0.8668, 0.6745, 0.2794)  4 O 1.61-1.66
Sn (0.3560, 0.6440, 0.2500)  4 O 2.15-2.31
Sn (0.6440, 0.3560, 0.7500)  4 O 2.15-2.31
O (0.0932, 0.7209, 0.3778)  1 Si 1.63
O (0.1719, 0.5506, 0.8323)  1 Si 1.61
O (0.2116, 0.2342, 0.4520)  2 Si 1.65-1.66
O (0.2342, 0.2116, 0.9520)  2 Si 1.65-1.66
O (0.2791, 0.9068, 0.1222)  1 Si 1.63
O (0.4494, 0.8281, 0.6677)  1 Si 1.61
O (0.5506, 0.1719, 0.3323)  1 Si 1.61
O (0.7209, 0.0932, 0.8778)  1 Si 1.63
O (0.7658, 0.7884, 0.0480)  2 Si 1.65-1.66
O (0.7884, 0.7658, 0.5480)  2 Si 1.65-1.66
O (0.8281, 0.4494, 0.1677)  1 Si 1.61
O (0.9068, 0.2791, 0.6222)  1 Si 1.63

Results
* formation energy from raw total energies: -2444 meV/atom
* uncorrected energy: -7.3408 eV/atom
* calculated volume: 13.28 A^3/atom
* calculated density: 3.69 g cm⁻³
* relative energy among the computed polymorphs: 32 meV per atom

---

Please write out number 1 again, unchanged.
First-principles (PBEsol) data for a relaxed structure of HfNi3, as listed in Alexandria via LeMat-Bulk.

a = 7.0133 Å, b = 7.0133 Å, c = 7.0133 Å
α = 43.47°, β = 43.47°, γ = 43.47°
With the nearest neighbours (Å) after each atom.
Fractional positions:
Hf (0.0000, 0.0000, 0.0000)  12 Ni 2.60-2.63
Hf (0.2189, 0.2189, 0.2189)  12 Ni 2.60-2.64
Hf (0.7811, 0.7811, 0.7811)  12 Ni 2.60-2.64
Ni (0.0000, 0.5000, 0.5000)  8 Ni 2.55-2.60, 4 Hf 2.60-2.64
Ni (0.2442, 0.7128, 0.7128)  6 Ni 2.43-2.57, 4 Hf 2.60-2.63
Ni (0.2872, 0.2872, 0.7558)  6 Ni 2.43-2.57, 4 Hf 2.60-2.63
Ni (0.2872, 0.7558, 0.2872)  6 Ni 2.43-2.57, 4 Hf 2.60-2.63
Ni (0.5000, 0.0000, 0.5000)  8 Ni 2.55-2.60, 4 Hf 2.60-2.64
Ni (0.5000, 0.5000, 0.0000)  8 Ni 2.55-2.60, 4 Hf 2.60-2.64
Ni (0.7128, 0.2442, 0.7128)  6 Ni 2.43-2.57, 4 Hf 2.60-2.63
Ni (0.7128, 0.7128, 0.2442)  6 Ni 2.43-2.57, 4 Hf 2.60-2.63
Ni (0.7558, 0.2872, 0.2872)  6 Ni 2.43-2.57, 4 Hf 2.60-2.63

Results
* uncorrected energy: -7.8061 eV/atom
* calculated volume: 12.34 A^3/atom
* calculated density: 11.93 g cm⁻³
* energy of formation from the pure elements: -0.562 eV/atom